Record 1
PBE La2TbIn2Ag2, optimized geometry; magnetic moment = 0.000 μB per cell; final energy = -3.9960 eV per atom; SG = No. 166; formation enthalpy at 0 K = -32 kJ per mole of atoms
1.0
-3.902 -2.478 1.592
0.565 -3.665 3.186
-2.018 3.813 8.495
La Tb In Ag
2 1 2 2
Direct
0.128 0.128 0.615
0.872 0.872 0.385
0.000 0.000 0.000
0.733 0.733 0.801
0.267 0.267 0.199
0.609 0.609 0.173
0.391 0.391 0.827

Record 2
PBE Cd3NiPt, optimized geometry; magnetic moment = 0.788 μB per cell; final energy = -2.3217 eV per atom; SG = No. 221; formation enthalpy at 0 K = 57 kJ per mole of atoms; distance to the lowest polymorph of the same formula = 37.3 kJ/mol of formula units
1.0
-3.373 -3.035 2.445
2.354 -4.163 -1.921
3.106 -0.141 4.111
Ni Pt Cd
1 1 3
Direct
0.500 0.500 0.500
0.000 0.000 0.000
0.000 0.500 0.000
0.000 0.000 0.500
0.500 0.000 0.000

Record 3
PBE Tb2Sm3Tm, optimized geometry; magnetic moment = 0.000 μB per cell; final energy = -4.6533 eV per atom; SG = No. 63; formation enthalpy at 0 K = 0 kJ per mole of atoms; distance to the lowest polymorph of the same formula = 0.0 kJ/mol of formula units
1.0
11.578 0.000 0.000
0.000 6.219 -0.290
0.000 -2.862 5.529
Tb Sm Tm
4 6 2
Direct
0.720 0.167 0.501
0.220 0.499 0.833
0.220 0.833 0.499
0.720 0.501 0.167
0.470 0.165 0.834
0.970 0.166 0.835
0.470 0.499 0.499
0.970 0.501 0.501
0.970 0.835 0.166
0.470 0.834 0.165
0.720 0.834 0.834
0.220 0.166 0.166